Density functional theory data (PBE) for Sm3Tl3VSe8 after structural relaxation.

Computed properties:
space group: R-3m (166)
formation energy without anion corrections: -1.17 eV/atom
raw total energy: -75.7 eV/cell
DOS(E_F): 6.5 states/eV per cell
mass density: 6.3 g/cm3

a b c (Å): 9.1185 9.1185 9.1185
angles (deg): 53.76 53.76 53.76
With the nearest neighbours (Å) after each atom.
Element x y z (fractional)
Sm (0.0000, 0.5000, 0.5000)  6 Se 2.90-2.94
Sm (0.5000, 0.0000, 0.5000)  6 Se 2.90-2.94
Sm (0.5000, 0.5000, 0.0000)  6 Se 2.90-2.94
Tl (0.0000, 0.0000, 0.5000)  6 Se 3.26-3.28
Tl (0.0000, 0.5000, 0.0000)  6 Se 3.26-3.28
Tl (0.5000, 0.0000, 0.0000)  6 Se 3.26-3.28
V (0.0000, 0.0000, 0.0000)  6 Se 2.62
Se (0.2143, 0.2143, 0.7667)  1 V 2.62
Se (0.2143, 0.7667, 0.2143)  1 V 2.62
Se (0.2333, 0.7857, 0.7857)  1 V 2.62
Se (0.2622, 0.2622, 0.2622)  3 Sm 2.90
Se (0.7378, 0.7378, 0.7378)  3 Sm 2.90
Se (0.7667, 0.2143, 0.2143)  1 V 2.62
Se (0.7857, 0.2333, 0.7857)  1 V 2.62
Se (0.7857, 0.7857, 0.2333)  1 V 2.62

---

Density functional theory data (PBE) for SmY2Tl3Se6 after structural relaxation.

Computed properties:
space group: C2/m (12)
formation energy without anion corrections: -1.39 eV/atom
raw total energy: -62.4 eV/cell
mass density: 6.5 g/cm3

a b c (Å): 7.3053 7.3053 8.1410
angles (deg): 98.61 98.61 119.99
With the nearest neighbours (Å) after each atom.
Element x y z (fractional)
Sm (0.0000, 0.0000, 0.0000)  6 Se 2.94
Y (0.3333, 0.6667, 0.0000)  6 Se 2.90
Y (0.6667, 0.3333, 0.0000)  6 Se 2.90
Tl (0.1658, 0.8342, 0.5000)  6 Se 3.32-3.35
Tl (0.5000, 0.5000, 0.5000)  6 Se 3.32-3.35
Tl (0.8342, 0.1658, 0.5000)  6 Se 3.32-3.35
Se (0.0688, 0.4070, 0.2063)  2 Y 2.90, 1 Sm 2.94
Se (0.2697, 0.2697, 0.7947)  2 Y 2.90, 1 Sm 2.94
Se (0.4070, 0.0688, 0.2063)  2 Y 2.90, 1 Sm 2.94
Se (0.5930, 0.9312, 0.7937)  2 Y 2.90, 1 Sm 2.94
Se (0.7303, 0.7303, 0.2053)  2 Y 2.90, 1 Sm 2.94
Se (0.9312, 0.5930, 0.7937)  2 Y 2.90, 1 Sm 2.94

---

Density functional theory data (PBE) for Sm2YTl3Se6 after structural relaxation.

Computed properties:
space group: C2/m (12)
formation energy without anion corrections: -1.39 eV/atom
raw total energy: -60.6 eV/cell
mass density: 6.7 g/cm3

a b c (Å): 7.3524 7.3524 8.1429
angles (deg): 98.66 98.66 120.00
With the nearest neighbours (Å) after each atom.
Element x y z (fractional)
Sm (0.1666, 0.8334, 0.0000)  6 Se 2.95
Sm (0.8334, 0.1666, 0.0000)  6 Se 2.95
Y (0.5000, 0.5000, 0.0000)  6 Se 2.90-2.91
Tl (0.0000, 0.0000, 0.5000)  6 Se 3.33-3.36
Tl (0.3323, 0.6677, 0.5000)  6 Se 3.33-3.36
Tl (0.6677, 0.3323, 0.5000)  6 Se 3.33-3.36
Se (0.1025, 0.4310, 0.7932)  1 Y 2.90, 2 Sm 2.95
Se (0.2408, 0.2408, 0.2081)  1 Y 2.91, 2 Sm 2.95
Se (0.4310, 0.1025, 0.7932)  1 Y 2.90, 2 Sm 2.95
Se (0.5690, 0.8975, 0.2068)  1 Y 2.90, 2 Sm 2.95
Se (0.7592, 0.7592, 0.7919)  1 Y 2.91, 2 Sm 2.95
Se (0.8975, 0.5690, 0.2068)  1 Y 2.90, 2 Sm 2.95

---

Density functional theory data (PBE) for Sm3YTl4Se8 after structural relaxation.

Computed properties:
space group: R-3m (166)
formation energy without anion corrections: -1.39 eV/atom
raw total energy: -80.1 eV/cell
mass density: 6.8 g/cm3

a b c (Å): 9.1886 9.1886 9.1886
angles (deg): 55.12 55.12 55.12
With the nearest neighbours (Å) after each atom.
Element x y z (fractional)
Sm (0.0000, 0.5000, 0.5000)  6 Se 2.94-2.95
Sm (0.5000, 0.0000, 0.5000)  6 Se 2.94-2.95
Sm (0.5000, 0.5000, 0.0000)  6 Se 2.94-2.95
Y (0.0000, 0.0000, 0.0000)  6 Se 2.91
Tl (0.0000, 0.0000, 0.5000)  6 Se 3.34
Tl (0.0000, 0.5000, 0.0000)  6 Se 3.34
Tl (0.5000, 0.0000, 0.0000)  6 Se 3.34
Tl (0.5000, 0.5000, 0.5000)  6 Se 3.37
Se (0.2336, 0.2336, 0.7399)  1 Y 2.91, 2 Sm 2.95
Se (0.2336, 0.7399, 0.2336)  1 Y 2.91, 2 Sm 2.95
Se (0.2601, 0.7664, 0.7664)  1 Y 2.91, 2 Sm 2.95
Se (0.2636, 0.2636, 0.2636)  3 Sm 2.94
Se (0.7364, 0.7364, 0.7364)  3 Sm 2.94
Se (0.7399, 0.2336, 0.2336)  1 Y 2.91, 2 Sm 2.95
Se (0.7664, 0.2601, 0.7664)  1 Y 2.91, 2 Sm 2.95
Se (0.7664, 0.7664, 0.2601)  1 Y 2.91, 2 Sm 2.95

---

Density functional theory data (PBE) for SmY3Tl4Se8 after structural relaxation.

Computed properties:
space group: R-3m (166)
formation energy without anion corrections: -1.39 eV/atom
raw total energy: -83.7 eV/cell
mass density: 6.5 g/cm3

a b c (Å): 9.1643 9.1643 9.1643
angles (deg): 54.72 54.72 54.72
With the nearest neighbours (Å) after each atom.
Element x y z (fractional)
Sm (0.0000, 0.0000, 0.0000)  6 Se 2.94
Y (0.0000, 0.5000, 0.5000)  6 Se 2.90
Y (0.5000, 0.0000, 0.5000)  6 Se 2.90
Y (0.5000, 0.5000, 0.0000)  6 Se 2.90
Tl (0.0000, 0.0000, 0.5000)  6 Se 3.35
Tl (0.0000, 0.5000, 0.0000)  6 Se 3.35
Tl (0.5000, 0.0000, 0.0000)  6 Se 3.35
Tl (0.5000, 0.5000, 0.5000)  6 Se 3.31
Se (0.2375, 0.2375, 0.7312)  2 Y 2.90, 1 Sm 2.94
Se (0.2375, 0.7312, 0.2375)  2 Y 2.90, 1 Sm 2.94
Se (0.2653, 0.2653, 0.2653)  3 Y 2.90
Se (0.2688, 0.7625, 0.7625)  2 Y 2.90, 1 Sm 2.94
Se (0.7312, 0.2375, 0.2375)  2 Y 2.90, 1 Sm 2.94
Se (0.7347, 0.7347, 0.7347)  3 Y 2.90
Se (0.7625, 0.2688, 0.7625)  2 Y 2.90, 1 Sm 2.94
Se (0.7625, 0.7625, 0.2688)  2 Y 2.90, 1 Sm 2.94

---

Density functional theory data (PBE) for SmYTl2Se4 after structural relaxation.

Computed properties:
space group: P2/m (10)
formation energy without anion corrections: -1.39 eV/atom
raw total energy: -41.0 eV/cell
mass density: 6.6 g/cm3

a b c (Å): 7.3306 4.2328 8.1395
angles (deg): 90.00 107.45 90.00
With the nearest neighbours (Å) after each atom.
Element x y z (fractional)
Sm (0.0000, 0.0000, 0.0000)  6 Se 2.94
Y (0.5000, 0.5000, 0.0000)  6 Se 2.90-2.91
Tl (0.0000, 0.5000, 0.5000)  6 Se 3.36
Tl (0.5000, 0.0000, 0.5000)  6 Se 3.32
Se (0.2401, 0.5000, 0.2076)  1 Y 2.90, 2 Sm 2.94
Se (0.2690, 0.0000, 0.7944)  2 Y 2.91, 1 Sm 2.94
Se (0.7310, 0.0000, 0.2056)  2 Y 2.91, 1 Sm 2.94
Se (0.7599, 0.5000, 0.7924)  1 Y 2.90, 2 Sm 2.94

---

Density functional theory data (PBE) for Sm2Tl3ZnSe6 after structural relaxation.

Computed properties:
space group: C2/m (12)
formation energy without anion corrections: -0.98 eV/atom
raw total energy: -50.4 eV/cell
DOS(E_F): 6.3 states/eV per cell
mass density: 7.1 g/cm3

a b c (Å): 7.2532 7.2532 7.8922
angles (deg): 99.25 99.25 119.67
With the nearest neighbours (Å) after each atom.
Element x y z (fractional)
Sm (0.1645, 0.8355, 0.0000)  6 Se 2.92-2.94
Sm (0.8355, 0.1645, 0.0000)  6 Se 2.92-2.94
Tl (0.0000, 0.0000, 0.5000)  6 Se 3.22-3.26
Tl (0.3263, 0.6737, 0.5000)  6 Se 3.23-3.34
Tl (0.6737, 0.3263, 0.5000)  6 Se 3.23-3.34
Zn (0.5000, 0.5000, 0.0000)  6 Se 2.71-2.92
Se (0.1214, 0.4316, 0.7981)  1 Zn 2.71, 2 Sm 2.94
Se (0.2466, 0.2466, 0.2205)  1 Zn 2.92, 2 Sm 2.92, 3 Tl 3.23-3.26
Se (0.4316, 0.1214, 0.7981)  1 Zn 2.71, 2 Sm 2.94
Se (0.5684, 0.8786, 0.2019)  1 Zn 2.71, 2 Sm 2.94
Se (0.7534, 0.7534, 0.7795)  1 Zn 2.92, 2 Sm 2.92, 3 Tl 3.23-3.26
Se (0.8786, 0.5684, 0.2019)  1 Zn 2.71, 2 Sm 2.94

---

Density functional theory data (PBE) for SmTl2Zn2Se4 after structural relaxation.

Computed properties:
space group: C2/m (12)
formation energy without anion corrections: -0.80 eV/atom
raw total energy: -33.2 eV/cell
DOS(E_F): 2.7 states/eV per cell
mass density: 6.8 g/cm3

a b c (Å): 7.8967 7.8967 8.2417
angles (deg): 105.43 105.43 29.92
With the nearest neighbours (Å) after each atom.
Element x y z (fractional)
Sm (0.0000, 0.0000, 0.0000)  6 Se 2.94-3.01
Tl (0.1319, 0.1319, 0.5261)  7 Se 3.41-3.66
Tl (0.8681, 0.8681, 0.4739)  7 Se 3.41-3.66
Zn (0.3307, 0.3307, 0.0260)  4 Se 2.48-2.55
Zn (0.6693, 0.6693, 0.9740)  4 Se 2.48-2.55
Se (0.2020, 0.2020, 0.1678)  3 Zn 2.55
Se (0.4796, 0.4796, 0.2439)  1 Zn 2.48
Se (0.5204, 0.5204, 0.7561)  1 Zn 2.48
Se (0.7980, 0.7980, 0.8322)  3 Zn 2.55

---

- Look up the formation energy without anion corrections of the eighth one.
  -0.80 eV/atom

---

Copy entry 7 word for word.
Density functional theory data (PBE) for Sm2Tl3ZnSe6 after structural relaxation.

Computed properties:
space group: C2/m (12)
formation energy without anion corrections: -0.98 eV/atom
raw total energy: -50.4 eV/cell
DOS(E_F): 6.3 states/eV per cell
mass density: 7.1 g/cm3

a b c (Å): 7.2532 7.2532 7.8922
angles (deg): 99.25 99.25 119.67
With the nearest neighbours (Å) after each atom.
Element x y z (fractional)
Sm (0.1645, 0.8355, 0.0000)  6 Se 2.92-2.94
Sm (0.8355, 0.1645, 0.0000)  6 Se 2.92-2.94
Tl (0.0000, 0.0000, 0.5000)  6 Se 3.22-3.26
Tl (0.3263, 0.6737, 0.5000)  6 Se 3.23-3.34
Tl (0.6737, 0.3263, 0.5000)  6 Se 3.23-3.34
Zn (0.5000, 0.5000, 0.0000)  6 Se 2.71-2.92
Se (0.1214, 0.4316, 0.7981)  1 Zn 2.71, 2 Sm 2.94
Se (0.2466, 0.2466, 0.2205)  1 Zn 2.92, 2 Sm 2.92, 3 Tl 3.23-3.26
Se (0.4316, 0.1214, 0.7981)  1 Zn 2.71, 2 Sm 2.94
Se (0.5684, 0.8786, 0.2019)  1 Zn 2.71, 2 Sm 2.94
Se (0.7534, 0.7534, 0.7795)  1 Zn 2.92, 2 Sm 2.92, 3 Tl 3.23-3.26
Se (0.8786, 0.5684, 0.2019)  1 Zn 2.71, 2 Sm 2.94